Computed, not measured: a relaxed ZrCuP crystal at the PBE level of DFT.

abc: 5.964 5.964 6.653
angles: 109.69 109.69 88.47
Atoms (fractional coordinates):
Zr1 0.074 0.926 0.500
Zr2 0.229 0.428 0.523
Zr3 0.428 0.229 0.023
Zr4 0.926 0.074 0.000
Cu1 0.119 0.610 0.105
Cu2 0.588 0.764 0.089
Cu3 0.610 0.119 0.605
Cu4 0.764 0.588 0.589
P1 0.322 0.995 0.256
P2 0.503 0.821 0.740
P3 0.821 0.503 0.240
P4 0.995 0.322 0.756

Values from the calculation:
total energy: -6.566 eV/atom